A plane-wave DFT calculation with GGA+U was carried out for crystalline BaMnN2F at its relaxed geometry.

Cell lengths 4.688, 4.688, 4.852 Å; angles 90.00, 90.00, 90.00 degrees
Site moments in Bohr magnetons follow the coordinates.
Positions (direct):
F 0.000 0.000 0.500  0.01
Ba 0.000 0.000 0.000  -0.01
N 0.500 0.000 0.000  0.34
N 0.000 0.500 0.000  0.34
Mn 0.500 0.500 0.500  4.75

Properties
energy above the most stable polymorph in this dataset	1547	meV per atom
symmetry	P4/mmm (123)